w:
A relaxed VP2F crystal, computed with GGA+U.

Structure (CIF):
```
data_VP2F
_chemical_formula_sum 'V4 P8 F4'
_cell_length_a 5.9465
_cell_length_b 5.9465
_cell_length_c 5.9465
_cell_angle_alpha 90.00
_cell_angle_beta 90.00
_cell_angle_gamma 90.00
_symmetry_space_group_name_H-M 'F m -3 m'
_symmetry_Int_Tables_number 225
_symmetry_space_group_name_Hall '-F 4 2 3'
loop_
_atom_site_label
_atom_site_type_symbol
_atom_site_fract_x
_atom_site_fract_y
_atom_site_fract_z
V1 V 0.0000 0.0000 0.0000
P1 P 0.2500 0.2500 0.2500
F1 F 0.0000 0.0000 0.5000
```

---

x:
A relaxed VP2F crystal, computed with GGA+U.

Structure (CIF):
```
data_VP2F
_chemical_formula_sum 'V4 P8 F4'
_cell_length_a 3.3187
_cell_length_b 3.3187
_cell_length_c 21.7743
_cell_angle_alpha 90.00
_cell_angle_beta 90.00
_cell_angle_gamma 90.00
_symmetry_space_group_name_H-M 'I -4 2 d'
_symmetry_Int_Tables_number 122
_symmetry_space_group_name_Hall 'I -4 2bw'
loop_
_atom_site_label
_atom_site_type_symbol
_atom_site_fract_x
_atom_site_fract_y
_atom_site_fract_z
V1 V 0.0000 0.0000 0.0000
P1 P 0.2235 0.2500 0.1250
F1 F 0.0000 0.0000 0.5000
```

---

What should be chosen as the most stable of them? Choose x.

---

w:
A relaxed VPF3 crystal, computed with GGA+U.

Structure (CIF):
```
data_VPF3
_chemical_formula_sum 'V1 P1 F3'
_cell_length_a 4.1551
_cell_length_b 4.1551
_cell_length_c 4.1551
_cell_angle_alpha 90.00
_cell_angle_beta 90.00
_cell_angle_gamma 90.00
_symmetry_space_group_name_H-M 'P m -3 m'
_symmetry_Int_Tables_number 221
_symmetry_space_group_name_Hall '-P 4 2 3'
loop_
_atom_site_label
_atom_site_type_symbol
_atom_site_fract_x
_atom_site_fract_y
_atom_site_fract_z
V1 V 0.0000 0.0000 0.0000
P1 P 0.5000 0.5000 0.5000
F1 F 0.0000 0.0000 0.5000
```

---

x:
A relaxed VPF3 crystal, computed with GGA+U.

Structure (CIF):
```
data_VPF3
_chemical_formula_sum 'V1 P1 F3'
_cell_length_a 4.2567
_cell_length_b 4.2567
_cell_length_c 4.2567
_cell_angle_alpha 90.00
_cell_angle_beta 90.00
_cell_angle_gamma 90.00
_symmetry_space_group_name_H-M 'P m -3 m'
_symmetry_Int_Tables_number 221
_symmetry_space_group_name_Hall '-P 4 2 3'
loop_
_atom_site_label
_atom_site_type_symbol
_atom_site_fract_x
_atom_site_fract_y
_atom_site_fract_z
V1 V 0.0000 0.0000 0.0000
P1 P 0.5000 0.5000 0.5000
F1 F 0.0000 0.5000 0.5000
```

---

What should be chosen as the most stable of them? Choose w.

---

w:
A relaxed VPF2 crystal, computed with GGA+U.

Structure (CIF):
```
data_VPF2
_chemical_formula_sum 'V4 P4 F8'
_cell_length_a 5.9171
_cell_length_b 5.9171
_cell_length_c 5.9171
_cell_angle_alpha 90.00
_cell_angle_beta 90.00
_cell_angle_gamma 90.00
_symmetry_space_group_name_H-M 'F m -3 m'
_symmetry_Int_Tables_number 225
_symmetry_space_group_name_Hall '-F 4 2 3'
loop_
_atom_site_label
_atom_site_type_symbol
_atom_site_fract_x
_atom_site_fract_y
_atom_site_fract_z
V1 V 0.0000 0.0000 0.0000
P1 P 0.0000 0.0000 0.5000
F1 F 0.2500 0.2500 0.2500
```

---

x:
A relaxed VPF2 crystal, computed with GGA+U.

Structure (CIF):
```
data_VPF2
_chemical_formula_sum 'V3 P3 F6'
_cell_length_a 3.0549
_cell_length_b 3.0549
_cell_length_c 28.8851
_cell_angle_alpha 90.00
_cell_angle_beta 90.00
_cell_angle_gamma 120.00
_symmetry_space_group_name_H-M 'R -3 m'
_symmetry_Int_Tables_number 166
_symmetry_space_group_name_Hall '-R 3 2"'
loop_
_atom_site_label
_atom_site_type_symbol
_atom_site_fract_x
_atom_site_fract_y
_atom_site_fract_z
V1 V 0.0000 0.0000 0.0000
P1 P 0.0000 0.0000 0.5000
F1 F 0.0000 0.0000 0.3720
```

---

y:
A relaxed VPF2 crystal, computed with GGA+U.

Structure (CIF):
```
data_VPF2
_chemical_formula_sum 'V4 P4 F8'
_cell_length_a 3.6543
_cell_length_b 3.6543
_cell_length_c 15.1113
_cell_angle_alpha 90.00
_cell_angle_beta 90.00
_cell_angle_gamma 90.00
_symmetry_space_group_name_H-M 'I -4 2 d'
_symmetry_Int_Tables_number 122
_symmetry_space_group_name_Hall 'I -4 2bw'
loop_
_atom_site_label
_atom_site_type_symbol
_atom_site_fract_x
_atom_site_fract_y
_atom_site_fract_z
V1 V 0.0000 0.0000 0.0000
P1 P 0.0000 0.0000 0.5000
F1 F 0.2300 0.2500 0.1250
```

---

What should be chosen as the most stable of them? Choose x.

---

w:
A relaxed VP3F crystal, computed with GGA+U.

Structure (CIF):
```
data_VP3F
_chemical_formula_sum 'V1 P3 F1'
_cell_length_a 4.4606
_cell_length_b 4.4606
_cell_length_c 4.4606
_cell_angle_alpha 90.00
_cell_angle_beta 90.00
_cell_angle_gamma 90.00
_symmetry_space_group_name_H-M 'P m -3 m'
_symmetry_Int_Tables_number 221
_symmetry_space_group_name_Hall '-P 4 2 3'
loop_
_atom_site_label
_atom_site_type_symbol
_atom_site_fract_x
_atom_site_fract_y
_atom_site_fract_z
V1 V 0.0000 0.0000 0.0000
P1 P 0.0000 0.0000 0.5000
F1 F 0.5000 0.5000 0.5000
```

---

x:
A relaxed VP3F crystal, computed with GGA+U.

Structure (CIF):
```
data_VP3F
_chemical_formula_sum 'V1 P3 F1'
_cell_length_a 4.3011
_cell_length_b 4.3011
_cell_length_c 4.3011
_cell_angle_alpha 90.00
_cell_angle_beta 90.00
_cell_angle_gamma 90.00
_symmetry_space_group_name_H-M 'P m -3 m'
_symmetry_Int_Tables_number 221
_symmetry_space_group_name_Hall '-P 4 2 3'
loop_
_atom_site_label
_atom_site_type_symbol
_atom_site_fract_x
_atom_site_fract_y
_atom_site_fract_z
V1 V 0.0000 0.0000 0.0000
P1 P 0.0000 0.5000 0.5000
F1 F 0.5000 0.5000 0.5000
```

---

What should be chosen as the most stable of them? Choose w.

---

w:
A relaxed P2WF crystal, computed with GGA+U.

Structure (CIF):
```
data_P2WF
_chemical_formula_sum 'P8 W4 F4'
_cell_length_a 5.5203
_cell_length_b 5.5203
_cell_length_c 10.7123
_cell_angle_alpha 90.00
_cell_angle_beta 90.00
_cell_angle_gamma 90.00
_symmetry_space_group_name_H-M 'I -4 2 d'
_symmetry_Int_Tables_number 122
_symmetry_space_group_name_Hall 'I -4 2bw'
loop_
_atom_site_label
_atom_site_type_symbol
_atom_site_fract_x
_atom_site_fract_y
_atom_site_fract_z
P1 P 0.2363 0.2500 0.1250
W1 W 0.0000 0.0000 0.0000
F1 F 0.0000 0.0000 0.5000
```

---

x:
A relaxed P2WF crystal, computed with GGA+U.

Structure (CIF):
```
data_P2WF
_chemical_formula_sum 'P8 W4 F4'
_cell_length_a 6.0833
_cell_length_b 6.0833
_cell_length_c 6.0833
_cell_angle_alpha 90.00
_cell_angle_beta 90.00
_cell_angle_gamma 90.00
_symmetry_space_group_name_H-M 'F m -3 m'
_symmetry_Int_Tables_number 225
_symmetry_space_group_name_Hall '-F 4 2 3'
loop_
_atom_site_label
_atom_site_type_symbol
_atom_site_fract_x
_atom_site_fract_y
_atom_site_fract_z
P1 P 0.2500 0.2500 0.2500
W1 W 0.0000 0.0000 0.0000
F1 F 0.0000 0.0000 0.5000
```

---

What should be chosen as the most stable of them? Choose x.

---

w:
A relaxed PWF2 crystal, computed with GGA+U.

Structure (CIF):
```
data_PWF2
_chemical_formula_sum 'P4 W4 F8'
_cell_length_a 5.9797
_cell_length_b 5.9797
_cell_length_c 5.9797
_cell_angle_alpha 90.00
_cell_angle_beta 90.00
_cell_angle_gamma 90.00
_symmetry_space_group_name_H-M 'F m -3 m'
_symmetry_Int_Tables_number 225
_symmetry_space_group_name_Hall '-F 4 2 3'
loop_
_atom_site_label
_atom_site_type_symbol
_atom_site_fract_x
_atom_site_fract_y
_atom_site_fract_z
P1 P 0.0000 0.0000 0.0000
W1 W 0.0000 0.0000 0.5000
F1 F 0.2500 0.2500 0.2500
```

---

x:
A relaxed PWF2 crystal, computed with GGA+U.

Structure (CIF):
```
data_PWF2
_chemical_formula_sum 'P4 W4 F8'
_cell_length_a 3.7379
_cell_length_b 3.7379
_cell_length_c 16.1583
_cell_angle_alpha 90.00
_cell_angle_beta 90.00
_cell_angle_gamma 90.00
_symmetry_space_group_name_H-M 'I -4 2 d'
_symmetry_Int_Tables_number 122
_symmetry_space_group_name_Hall 'I -4 2bw'
loop_
_atom_site_label
_atom_site_type_symbol
_atom_site_fract_x
_atom_site_fract_y
_atom_site_fract_z
P1 P 0.0000 0.0000 0.0000
W1 W 0.0000 0.0000 0.5000
F1 F 0.2318 0.2500 0.6250
```

---

What should be chosen as the most stable of them? Choose x.

---

w:
A relaxed PWF3 crystal, computed with GGA+U.

Structure (CIF):
```
data_PWF3
_chemical_formula_sum 'P1 W1 F3'
_cell_length_a 4.2957
_cell_length_b 4.2957
_cell_length_c 4.2957
_cell_angle_alpha 90.00
_cell_angle_beta 90.00
_cell_angle_gamma 90.00
_symmetry_space_group_name_H-M 'P m -3 m'
_symmetry_Int_Tables_number 221
_symmetry_space_group_name_Hall '-P 4 2 3'
loop_
_atom_site_label
_atom_site_type_symbol
_atom_site_fract_x
_atom_site_fract_y
_atom_site_fract_z
P1 P 0.0000 0.0000 0.0000
W1 W 0.5000 0.5000 0.5000
F1 F 0.0000 0.5000 0.5000
```

---

x:
A relaxed PWF3 crystal, computed with GGA+U.

Structure (CIF):
```
data_PWF3
_chemical_formula_sum 'P1 W1 F3'
_cell_length_a 4.2695
_cell_length_b 4.2695
_cell_length_c 4.2695
_cell_angle_alpha 90.00
_cell_angle_beta 90.00
_cell_angle_gamma 90.00
_symmetry_space_group_name_H-M 'P m -3 m'
_symmetry_Int_Tables_number 221
_symmetry_space_group_name_Hall '-P 4 2 3'
loop_
_atom_site_label
_atom_site_type_symbol
_atom_site_fract_x
_atom_site_fract_y
_atom_site_fract_z
P1 P 0.0000 0.0000 0.0000
W1 W 0.5000 0.5000 0.5000
F1 F 0.0000 0.0000 0.5000
```

---

What should be chosen as the most stable of them? Choose w.